Entry 1:
Crystalline Dy2ErTmPd4 at its relaxed geometry. Source: OQMD, functional PBE.

Unit cell a=4.918 b=4.918 c=6.945 alpha=90.00 beta=90.00 gamma=90.00
Fractional positions:
Dy 0.000 0.000 0.000
Dy 0.500 0.500 0.500
Er 0.000 0.000 0.500
Tm 0.500 0.500 0.000
Pd 0.000 0.500 0.250
Pd 0.000 0.500 0.750
Pd 0.500 0.000 0.250
Pd 0.500 0.000 0.750

E_form = -918 meV/atom
space group = P4/mmm
uncorrected energy = -5.7855 eV/atom

Entry 2:
Crystalline Nd4SbPO at its relaxed geometry. Source: OQMD, functional PBE.

Unit cell a=9.322 b=9.322 c=9.322 alpha=151.90 beta=151.90 gamma=40.16
Fractional positions:
Nd 0.000 0.000 0.000
Nd 0.200 0.700 0.500
Nd 0.372 0.372 0.000
Nd 0.700 0.200 0.500
Sb 0.561 0.561 0.000
P 0.834 0.834 0.000
O 0.236 0.236 0.000

space group = I4mm
uncorrected energy = -6.2536 eV/atom

Entry 3:
Crystalline CoB4As at its relaxed geometry. Source: OQMD, functional PBE.

Unit cell a=4.546 b=4.546 c=4.546 alpha=141.34 beta=108.65 gamma=84.23
Fractional positions:
Co 0.000 0.000 0.000
B 0.077 0.743 0.335
B 0.408 0.743 0.665
B 0.592 0.257 0.335
B 0.923 0.257 0.665
As 0.500 0.500 0.000

space group = Immm
distance to the lowest polymorph of the same formula = 93.8 meV per atom
uncorrected energy = -5.9044 eV/atom

Entry 4:
Crystalline OsO2 at its relaxed geometry. Source: OQMD, functional PBE.

Unit cell a=4.949 b=4.949 c=5.463 alpha=90.00 beta=90.00 gamma=120.00
Fractional positions:
Os 0.000 0.548 0.167
Os 0.452 0.452 0.500
Os 0.548 0.000 0.833
O 0.019 0.310 0.426
O 0.292 0.981 0.093
O 0.310 0.019 0.574
O 0.690 0.708 0.759
O 0.708 0.690 0.241
O 0.981 0.292 0.907

space group = P3_121
uncorrected energy = -7.3321 eV/atom

Entry 5:
Crystalline MgAgSeO at its relaxed geometry. Source: OQMD, functional PBE.

Unit cell a=5.771 b=6.086 c=7.934 alpha=90.00 beta=90.00 gamma=90.00
Fractional positions:
Mg 0.218 0.091 0.008
Mg 0.282 0.909 0.508
Mg 0.718 0.409 0.992
Mg 0.782 0.591 0.492
Ag 0.195 0.531 0.831
Ag 0.305 0.469 0.331
Ag 0.695 0.969 0.169
Ag 0.805 0.031 0.669
Se 0.041 0.701 0.122
Se 0.459 0.299 0.622
Se 0.541 0.799 0.878
Se 0.959 0.201 0.378
O 0.031 0.740 0.606
O 0.469 0.260 0.106
O 0.531 0.760 0.394
O 0.969 0.240 0.894

space group = P2_12_12_1
distance to the lowest polymorph of the same formula = 195.7 meV per atom
uncorrected energy = -4.1421 eV/atom

Entry 6:
Crystalline Li2Zn2In2IrAu at its relaxed geometry. Source: OQMD, functional PBE.

Unit cell a=4.474 b=4.474 c=6.559 alpha=90.00 beta=90.00 gamma=90.00
Fractional positions:
Li 0.000 0.000 0.000
Li 0.500 0.500 0.500
Zn 0.000 0.500 0.231
Zn 0.500 0.000 0.769
In 0.000 0.500 0.760
In 0.500 0.000 0.240
Ir 0.500 0.500 0.000
Au 0.000 0.000 0.500

space group = P-4m2
uncorrected energy = -3.3217 eV/atom

Entry 7:
Crystalline LiNpOs at its relaxed geometry. Source: OQMD, functional PBE.

Unit cell a=4.394 b=4.394 c=4.394 alpha=60.00 beta=60.00 gamma=60.00
Fractional positions:
Li 0.000 0.000 0.000
Np 0.500 0.500 0.500
Os 0.250 0.250 0.250

space group = F-43m
uncorrected energy = -8.1656 eV/atom

Entry 8:
Crystalline CdNiPbSe3 at its relaxed geometry. Source: OQMD, functional PBE.

Unit cell a=7.629 b=7.629 c=11.380 alpha=90.00 beta=90.00 gamma=151.72
Fractional positions:
Cd 0.021 0.979 0.750
Cd 0.979 0.021 0.250
Ni 0.500 0.500 0.000
Ni 0.500 0.500 0.500
Pb 0.299 0.701 0.750
Pb 0.701 0.299 0.250
Se 0.091 0.909 0.062
Se 0.091 0.909 0.438
Se 0.345 0.655 0.250
Se 0.655 0.345 0.750
Se 0.909 0.091 0.562
Se 0.909 0.091 0.938

space group = Cmcm
distance to the lowest polymorph of the same formula = 37.3 meV per atom
uncorrected energy = -3.6814 eV/atom

> Among the records above, which one has the lowest uncorrected energy?

LiNpOs